DFT (PBE with a Hubbard U) results for a relaxed structure of MnBrN2O.

space-group type	P4/mmm
uncorrected energy	-22.7	eV/f.u.
total magnetization	4.722	μB per cell

a b c (Å): 3.8469 3.8469 4.0761
angles (deg): 90.00 90.00 90.00
With the nearest neighbours (Å) after each atom.
Positions (direct):
Mn1 0.5000 0.5000 0.5000  4 O 2.72, 8 N 2.80
O1 0.0000 0.0000 0.5000  2 Br 2.04
Br1 0.0000 0.0000 0.0000  4 N 1.92, 2 O 2.04
N1 0.0000 0.5000 0.0000  2 Br 1.92
N2 0.5000 0.0000 0.0000  2 Br 1.92